(i)
The following is a PBE calculation of a relaxed ErAlPdPt crystal, from the Open Quantum Materials Database.

The calculation puts the mass density at 11.1 g/cm³.

It has space group P6_3mc (No. 186), with a = 4.3429 Å, b = 4.3429 Å, c = 9.1068 Å, α = 90.00°, β = 90.00° and γ = 120.00°. Symmetry generates all atoms from Er at (0.3333, 0.6667, 0.0000), Al at (0.0000, 0.0000, 0.2407), Pd at (0.3333, 0.6667, 0.3339) and Pt at (0.3333, 0.6667, 0.6668).

(ii)
The following is a PBE calculation of a relaxed ErAlPdPt crystal, from the Open Quantum Materials Database.

The calculation puts the mass density at 11.1 g/cm³.

It has space group P-6m2 (No. 187), with a = 4.3358 Å, b = 4.3358 Å, c = 9.1060 Å, α = 90.00°, β = 90.00° and γ = 120.00°. Symmetry generates all atoms from Er at (0.0000, 0.0000, 0.0000), Er at (0.3333, 0.6667, 0.5000), Al at (0.6667, 0.3333, 0.2441), Pd at (0.0000, 0.0000, 0.3356) and Pt at (0.3333, 0.6667, 0.1713).

Short version: (i), (ii), most stable first.

(i)
The following is a PBE calculation of a relaxed Er3Al3SiPd2 crystal, from the Open Quantum Materials Database.

The calculation puts the mass density at 7.3 g/cm³.

It has space group P-62m (No. 189), with a = 7.4906 Å, b = 7.4906 Å, c = 3.8531 Å, α = 90.00°, β = 90.00° and γ = 120.00°. Symmetry generates all atoms from Er at (0.0000, 0.2736, 0.0000), Al at (0.0000, 0.6005, 0.5000), Si at (0.0000, 0.0000, 0.5000) and Pd at (0.3333, 0.6667, 0.0000).

(ii)
The following is a PBE calculation of a relaxed Er3Al3SiPd2 crystal, from the Open Quantum Materials Database.

The calculation puts the mass density at 7.8 g/cm³.

It has space group P-62m (No. 189), with a = 7.3415 Å, b = 7.3415 Å, c = 3.7744 Å, α = 90.00°, β = 90.00° and γ = 120.00°. Symmetry generates all atoms from Er at (0.0000, 0.5996, 0.0000), Al at (0.0000, 0.2545, 0.5000), Si at (0.0000, 0.0000, 0.0000) and Pd at (0.3333, 0.6667, 0.5000).

Short version: (ii), (i), most stable first.

(i)
The following is a PBE calculation of a relaxed ErAlTl crystal, from the Open Quantum Materials Database.

The calculation puts the mass density at 8.5 g/cm³.

It has space group F-43m (No. 216), with a = 6.787 Å, b = 6.787 Å, c = 6.787 Å, α = 90.00°, β = 90.00° and γ = 90.00°. Symmetry generates all atoms from Er at (0.000, 0.000, 0.000), Al at (0.250, 0.250, 0.250) and Tl at (0.000, 0.000, 0.500).

(ii)
The following is a PBE calculation of a relaxed ErAlTl crystal, from the Open Quantum Materials Database.

The calculation puts the mass density at 7.7 g/cm³.

It has space group F-43m (No. 216), with a = 6.993 Å, b = 6.993 Å, c = 6.993 Å, α = 90.00°, β = 90.00° and γ = 90.00°. Symmetry generates all atoms from Er at (0.000, 0.000, 0.000), Al at (0.250, 0.250, 0.750) and Tl at (0.250, 0.250, 0.250).

(iii)
The following is a PBE calculation of a relaxed ErAlTl crystal, from the Open Quantum Materials Database.

The calculation puts the mass density at 9.2 g/cm³.

It has space group Cmmm (No. 65), with a = 4.427 Å, b = 14.079 Å, c = 4.616 Å, α = 90.00°, β = 90.00° and γ = 90.00°. Symmetry generates all atoms from Er at (0.000, 0.159, 0.000), Al at (0.000, 0.311, 0.500), Tl at (0.000, 0.000, 0.500) and Tl at (0.000, 0.500, 0.000).

Short version: (iii), (i), (ii), most stable first.

(i)
The following is a PBE calculation of a relaxed ErTmAl crystal, from the Open Quantum Materials Database.

The calculation puts the mass density at 6.7 g/cm³.

It has space group F-43m (No. 216), with a = 7.112 Å, b = 7.112 Å, c = 7.112 Å, α = 90.00°, β = 90.00° and γ = 90.00°. Symmetry generates all atoms from Er at (0.000, 0.000, 0.000), Tm at (0.250, 0.250, 0.250) and Al at (0.250, 0.250, 0.750).

(ii)
The following is a PBE calculation of a relaxed ErTmAl crystal, from the Open Quantum Materials Database.

The calculation puts the mass density at 7.9 g/cm³.

It has space group Pnma (No. 62), with a = 6.487 Å, b = 5.037 Å, c = 9.338 Å, α = 90.00°, β = 90.00° and γ = 90.00°. Symmetry generates all atoms from Er at (0.186, 0.250, 0.072), Tm at (0.028, 0.250, 0.711) and Al at (0.207, 0.250, 0.396).

Short version: (ii), (i), most stable first.

(i)
The following is a PBE calculation of a relaxed YErAl crystal, from the Open Quantum Materials Database.

The calculation puts the mass density at 6.0 g/cm³.

It has space group Pnma (No. 62), with a = 6.518 Å, b = 5.074 Å, c = 9.453 Å, α = 90.00°, β = 90.00° and γ = 90.00°. Symmetry generates all atoms from Y at (0.187, 0.250, 0.073), Er at (0.029, 0.250, 0.710) and Al at (0.205, 0.250, 0.396).

(ii)
The following is a PBE calculation of a relaxed YErAl crystal, from the Open Quantum Materials Database.

The calculation puts the mass density at 5.1 g/cm³.

It has space group F-43m (No. 216), with a = 7.167 Å, b = 7.167 Å, c = 7.167 Å, α = 90.00°, β = 90.00° and γ = 90.00°. Symmetry generates all atoms from Y at (0.000, 0.000, 0.000), Er at (0.250, 0.250, 0.250) and Al at (0.250, 0.250, 0.750).

Short version: (i), (ii), most stable first.

(i)
The following is a PBE calculation of a relaxed AlFeGeS4 crystal, from the Open Quantum Materials Database.

The calculation puts the mass density at 3.7 g/cm³.

It has space group P4_122 (No. 91), with a = 7.152 Å, b = 7.152 Å, c = 10.082 Å, α = 90.00°, β = 90.00° and γ = 90.00°. Symmetry generates all atoms from Al at (0.000, 0.247, 0.000), Fe at (0.251, 0.251, 0.375), Ge at (0.248, 0.500, 0.750), S at (0.011, 0.244, 0.759) and S at (0.241, 0.486, 0.999).

(ii)
The following is a PBE calculation of a relaxed AlFeGeS4 crystal, from the Open Quantum Materials Database.

The calculation puts the mass density at 3.8 g/cm³.

It has space group P4_122 (No. 91), with a = 7.080 Å, b = 7.080 Å, c = 9.851 Å, α = 90.00°, β = 90.00° and γ = 90.00°. Symmetry generates all atoms from Al at (0.239, 0.239, 0.375), Fe at (0.000, 0.247, 0.000), Ge at (0.246, 0.500, 0.750), S at (0.019, 0.229, 0.769) and S at (0.228, 0.480, 0.007).

Short version: (i), (ii), most stable first.